Record 1
Here is a relaxed TiTc3Ir crystal from Alexandria. Energies are from PBEsol.

Computed properties:
- Calculated total energy: -8.7265 eV/atom
- Total moment: 0.00 μB/f.u.
- E_form: 38.3 kcal/mol of atoms

abc: 4.5997 4.5997 4.5997
angles: 90.00 90.00 90.00
Sites, in units of the cell vectors:
Ti 0.0000 0.0000 0.0000
Tc 0.0000 0.5000 0.5000
Tc 0.5000 0.0000 0.5000
Tc 0.5000 0.5000 0.0000
Ir 0.5000 0.5000 0.5000

***

Record 2
Here is a relaxed Ti2TcIr crystal from Alexandria. Energies are from PBEsol.

Computed properties:
- Calculated total energy: -10.2660 eV/atom
- Total moment: 0.00 μB/f.u.
- E_form: -19.2 kcal/mol of atoms

abc: 4.3317 4.3317 4.3317
angles: 60.00 60.00 60.00
Sites, in units of the cell vectors:
Ti 0.2500 0.2500 0.2500
Ti 0.7500 0.7500 0.7500
Tc 0.0000 0.0000 0.0000
Ir 0.5000 0.5000 0.5000

***

Record 3
Here is a relaxed TlTcIr2 crystal from Alexandria. Energies are from PBEsol.

Computed properties:
- Calculated total energy: -7.7611 eV/atom
- Offset from the most stable computed form: 0.76 eV per formula unit
- Total moment: 0.00 μB/f.u.
- E_form: 14.4 kcal/mol of atoms

abc: 4.4644 4.4644 4.4644
angles: 60.00 60.00 60.00
Sites, in units of the cell vectors:
Tl 0.0000 0.0000 0.0000
Tc 0.2500 0.2500 0.2500
Ir 0.5000 0.5000 0.5000
Ir 0.7500 0.7500 0.7500